Arrangement P

Material: NaYSb2I
Method: DFT, GGA-PBE
State: optimized geometry

abc: 5.868 5.868 6.148
angles: 90.00 90.00 90.00
Space group P4/mmm (No. 123)
Inequivalent atoms, fractional coordinates:
Na: 0.000 0.000 0.000
Y: 0.500 0.500 0.500
Sb: 0.000 0.500 0.500
I: 0.500 0.500 0.000


Arrangement Q

Material: NaYSb2I
Method: DFT, GGA-PBE
State: optimized geometry

abc: 5.348 5.348 5.691
angles: 90.00 90.00 90.00
Space group P4/mmm (No. 123)
Inequivalent atoms, fractional coordinates:
Na: 0.000 0.000 0.000
Y: 0.500 0.500 0.500
Sb: 0.000 0.500 0.000
I: 0.000 0.000 0.500


arrangement P is the most stable structure; the next one sits 480 meV/atom above it.


Arrangement P

Material: NaZnSbI2
Method: DFT, GGA-PBE
State: optimized geometry

abc: 6.023 6.023 5.191
angles: 90.00 90.00 90.00
Space group P4/mmm (No. 123)
Inequivalent atoms, fractional coordinates:
Na: 0.000 0.000 0.000
Zn: 0.500 0.500 0.500
Sb: 0.500 0.500 0.000
I: 0.000 0.500 0.500


Arrangement Q

Material: NaZnSbI2
Method: DFT, GGA-PBE
State: optimized geometry

abc: 5.843 5.843 6.226
angles: 90.00 90.00 90.00
Space group P4/mmm (No. 123)
Inequivalent atoms, fractional coordinates:
Na: 0.000 0.000 0.000
Zn: 0.500 0.500 0.500
Sb: 0.000 0.000 0.500
I: 0.000 0.500 0.000


arrangement P is the most stable structure; the next one sits 472 meV/atom above it.


Arrangement P

Material: NaZnSb2I
Method: DFT, GGA-PBE
State: optimized geometry

abc: 5.156 5.156 6.726
angles: 90.00 90.00 90.00
Space group P4/mmm (No. 123)
Inequivalent atoms, fractional coordinates:
Na: 0.000 0.000 0.000
Zn: 0.500 0.500 0.500
Sb: 0.000 0.500 0.500
I: 0.500 0.500 0.000


Arrangement Q

Material: NaZnSb2I
Method: DFT, GGA-PBE
State: optimized geometry

abc: 5.604 5.604 5.754
angles: 90.00 90.00 90.00
Space group P4/mmm (No. 123)
Inequivalent atoms, fractional coordinates:
Na: 0.000 0.000 0.000
Zn: 0.500 0.500 0.500
Sb: 0.000 0.500 0.000
I: 0.000 0.000 0.500


arrangement P is the most stable structure; the next one sits 585 meV/atom above it.


Arrangement P

Material: NaScI2
Method: DFT, GGA-PBE
State: optimized geometry

abc: 3.9721 3.9721 31.0070
angles: 90.00 90.00 120.00
Space group R-3m (No. 166, hexagonal axes)
Inequivalent atoms, fractional coordinates:
Na: 0.0000 0.0000 0.0000
Sc: 0.0000 0.0000 0.5000
I: 0.0000 0.0000 0.2268


Arrangement Q

Material: NaScI2
Method: DFT, GGA-PBE
State: optimized geometry

abc: 7.685 7.685 7.685
angles: 90.00 90.00 90.00
Space group Fm-3m (No. 225)
Inequivalent atoms, fractional coordinates:
Na: 0.000 0.000 0.000
Sc: 0.000 0.000 0.500
I: 0.250 0.250 0.250


arrangement P is the most stable structure; the next one sits 209 meV/atom above it.


Arrangement P

Material: Na3ScI
Method: DFT, GGA-PBE
State: optimized geometry

abc: 6.436 6.436 6.436
angles: 90.00 90.00 90.00
Space group Pm-3m (No. 221)
Inequivalent atoms, fractional coordinates:
Na: 0.000 0.000 0.500
Sc: 0.000 0.000 0.000
I: 0.500 0.500 0.500


Arrangement Q

Material: Na3ScI
Method: DFT, GGA-PBE
State: optimized geometry

abc: 5.983 5.983 5.983
angles: 90.00 90.00 90.00
Space group Pm-3m (No. 221)
Inequivalent atoms, fractional coordinates:
Na: 0.000 0.000 0.500
Sc: 0.500 0.500 0.500
I: 0.000 0.000 0.000


arrangement Q is the most stable structure; the next one sits 310 meV/atom above it.


Arrangement P

Material: Na3ScI6
Method: DFT, GGA-PBE
State: optimized geometry

abc: 7.709 8.252 13.856
angles: 90.00 123.40 90.00
Space group P2_1/c (No. 14)
Inequivalent atoms, fractional coordinates:
Na: 0.000 0.000 0.000
Na: 0.289 0.101 0.748
Sc: 0.500 0.000 0.500
I: 0.124 0.046 0.268
I: 0.263 0.675 0.070
I: 0.410 0.197 0.073


Arrangement Q

Material: Na3ScI6
Method: DFT, GGA-PBE
State: optimized geometry

abc: 11.926 11.926 11.926
angles: 90.00 90.00 90.00
Space group Fm-3m (No. 225)
Inequivalent atoms, fractional coordinates:
Na: 0.000 0.000 0.000
Na: 0.250 0.250 0.250
Sc: 0.000 0.000 0.500
I: 0.000 0.000 0.259


arrangement P is the most stable structure; the next one sits 140 meV/atom above it.